# Tm2ScZn3 PBE relaxed
data_Tm2ScZn3
_chemical_formula_sum 'Tm2 Sc1 Zn3'
_symmetry_space_group_name_H-M 'P 1'
_symmetry_Int_Tables_number 1
_cell_length_a 3.464
_cell_length_b 3.464
_cell_length_c 10.396
_cell_angle_alpha 90.00
_cell_angle_beta 90.00
_cell_angle_gamma 90.00
loop_
_symmetry_equiv_pos_as_xyz
'x,y,z'
loop_
_atom_site_label
_atom_site_fract_x
_atom_site_fract_y
_atom_site_fract_z
Tm1 0.000 0.000 0.172
Tm2 0.000 0.000 0.828
Sc1 0.000 0.000 0.500
Zn1 0.500 0.500 0.000
Zn2 0.500 0.500 0.348
Zn3 0.500 0.500 0.652
# Uncorrected energy = -3.536 eV per atom
# Formation energy = -0.354 eV/atom
# Mass density = 7.7 g/cm³

# TmScZn PBE relaxed
data_TmScZn
_chemical_formula_sum 'Tm1 Sc1 Zn1'
_symmetry_space_group_name_H-M 'P 1'
_symmetry_Int_Tables_number 1
_cell_length_a 6.337
_cell_length_b 6.337
_cell_length_c 6.337
_cell_angle_alpha 148.66
_cell_angle_beta 148.66
_cell_angle_gamma 44.91
loop_
_symmetry_equiv_pos_as_xyz
'x,y,z'
loop_
_atom_site_label
_atom_site_fract_x
_atom_site_fract_y
_atom_site_fract_z
Tm1 0.000 0.000 0.000
Sc1 0.291 0.291 0.000
Zn1 0.658 0.658 0.000
# Uncorrected energy = -4.233 eV per atom
# Formation energy = -0.207 eV/atom
# Mass density = 6.8 g/cm³

# TmScZn PBE relaxed
data_TmScZn
_chemical_formula_sum 'Tm1 Sc1 Zn1'
_symmetry_space_group_name_H-M 'P 1'
_symmetry_Int_Tables_number 1
_cell_length_a 4.761
_cell_length_b 4.761
_cell_length_c 4.761
_cell_angle_alpha 120.09
_cell_angle_beta 120.09
_cell_angle_gamma 89.84
loop_
_symmetry_equiv_pos_as_xyz
'x,y,z'
loop_
_atom_site_label
_atom_site_fract_x
_atom_site_fract_y
_atom_site_fract_z
Tm1 0.000 0.000 0.000
Sc1 0.500 0.500 0.000
Zn1 0.750 0.250 0.500
# Uncorrected energy = -3.992 eV per atom
# Formation energy = 0.033 eV/atom
# Mass density = 6.1 g/cm³

# Tm2ScZn5 PBE relaxed
data_Tm2ScZn5
_chemical_formula_sum 'Tm2 Sc1 Zn5'
_symmetry_space_group_name_H-M 'P 1'
_symmetry_Int_Tables_number 1
_cell_length_a 7.644
_cell_length_b 7.644
_cell_length_c 7.644
_cell_angle_alpha 144.30
_cell_angle_beta 144.30
_cell_angle_gamma 51.38
loop_
_symmetry_equiv_pos_as_xyz
'x,y,z'
loop_
_atom_site_label
_atom_site_fract_x
_atom_site_fract_y
_atom_site_fract_z
Tm1 0.237 0.237 0.000
Tm2 0.763 0.763 0.000
Sc1 0.500 0.500 0.000
Zn1 0.000 0.000 0.000
Zn2 0.111 0.611 0.500
Zn3 0.389 0.889 0.500
Zn4 0.611 0.111 0.500
Zn5 0.889 0.389 0.500
# Uncorrected energy = -3.016 eV per atom
# Formation energy = -0.310 eV/atom
# Mass density = 7.8 g/cm³

# TmSc2Zn9 PBE relaxed
data_TmSc2Zn9
_chemical_formula_sum 'Tm1 Sc2 Zn9'
_symmetry_space_group_name_H-M 'P 1'
_symmetry_Int_Tables_number 1
_cell_length_a 8.913
_cell_length_b 8.913
_cell_length_c 8.913
_cell_angle_alpha 34.57
_cell_angle_beta 34.57
_cell_angle_gamma 34.57
loop_
_symmetry_equiv_pos_as_xyz
'x,y,z'
loop_
_atom_site_label
_atom_site_fract_x
_atom_site_fract_y
_atom_site_fract_z
Tm1 0.000 0.000 0.000
Sc1 0.142 0.142 0.142
Sc2 0.858 0.858 0.858
Zn1 0.077 0.589 0.589
Zn2 0.335 0.335 0.335
Zn3 0.411 0.411 0.923
Zn4 0.411 0.923 0.411
Zn5 0.500 0.500 0.500
Zn6 0.589 0.077 0.589
Zn7 0.589 0.589 0.077
Zn8 0.665 0.665 0.665
Zn9 0.923 0.411 0.411
# Uncorrected energy = -2.694 eV per atom
# Formation energy = -0.311 eV/atom
# Mass density = 6.9 g/cm³

# TmScZn PBE relaxed
data_TmScZn
_chemical_formula_sum 'Tm4 Sc4 Zn4'
_symmetry_space_group_name_H-M 'P 1'
_symmetry_Int_Tables_number 1
_cell_length_a 9.548
_cell_length_b 4.732
_cell_length_c 6.743
_cell_angle_alpha 90.00
_cell_angle_beta 90.00
_cell_angle_gamma 90.00
loop_
_symmetry_equiv_pos_as_xyz
'x,y,z'
loop_
_atom_site_label
_atom_site_fract_x
_atom_site_fract_y
_atom_site_fract_z
Tm1 0.135 0.250 0.003
Tm2 0.365 0.750 0.503
Tm3 0.635 0.250 0.497
Tm4 0.865 0.750 0.997
Sc1 0.114 0.250 0.502
Sc2 0.386 0.750 0.002
Sc3 0.614 0.250 0.998
Sc4 0.886 0.750 0.498
Zn1 0.123 0.750 0.750
Zn2 0.377 0.250 0.250
Zn3 0.623 0.750 0.750
Zn4 0.877 0.250 0.250
# Uncorrected energy = -3.997 eV per atom
# Formation energy = 0.029 eV/atom
# Mass density = 6.1 g/cm³